Entry 1:
DFT (GGA-PBE) results for crystalline CeInRu2 at its relaxed geometry.

Cell lengths 3.5657, 4.5400, 4.5400 Å; angles 90.00, 90.00, 90.00 degrees
Atoms (fractional coordinates):
Ru: 0.0000 0.0000 0.5000
Ru: 0.0000 0.5000 0.0000
Ce: 0.5000 0.5000 0.5000
In: 0.5000 0.0000 0.0000

DFT formation energy: -0.31 eV/atom
theoretical density: 10.33 g cm⁻³
DOS at the Fermi energy: 0.897 states/eV/atom

Entry 2:
DFT (GGA-PBE) results for crystalline CeInRu at its relaxed geometry.

Cell lengths 4.4186, 6.6921, 4.6907 Å; angles 69.59, 90.00, 90.00 degrees
Atoms (fractional coordinates):
Ce: 0.3223 0.3464 0.7092
Ce: 0.3223 0.7782 0.9919
In: 0.8223 0.3407 0.2120
In: 0.8223 0.7839 0.4891
Ru: 0.8223 0.0623 0.8506
Ru: 0.3223 0.0623 0.3505

DFT formation energy: -0.39 eV/atom
theoretical density: 9.10 g cm⁻³
DOS at the Fermi energy: 1.076 states/eV/atom

Entry 3:
DFT (GGA-PBE) results for crystalline Ce8InRu2 at its relaxed geometry.

Cell lengths 5.3126, 8.4069, 7.8523 Å; angles 57.63, 82.62, 76.12 degrees
Last column: magnetic moment on the atom in μB.
Atoms (fractional coordinates):
Ce: 0.9397 0.0950 0.2146  0.34
Ce: 0.9397 0.3096 0.7854  0.34
Ce: 0.3079 0.4192 0.0000  0.33
Ce: 0.5000 0.7454 0.5093  0.32
Ce: 0.5000 0.2546 0.4907  0.32
Ce: 0.6921 0.5808 0.0000  0.33
Ce: 0.0603 0.6904 0.2146  0.34
Ce: 0.0603 0.9050 0.7854  0.34
In: 0.5000 0.0000 0.0000  0.00
Ru: 0.0000 0.2883 0.4234  -0.05
Ru: 0.0000 0.7117 0.5766  -0.05

DFT formation energy: -0.16 eV/atom
theoretical density: 8.30 g cm⁻³
DOS at the Fermi energy: 2.673 states/eV/atom